# 1
Compound: Tl2ZnFe2
Source: Alexandria via LeMat-Bulk
Functional: GGA-PBE
Structure: optimized geometry

a b c (Å): 8.1405 8.1405 2.9413
angles (deg): 90.00 90.00 90.00
Last column: magnetic moment on the atom in μB.
Fractional positions:
1 Tl 0.3115 0.8115 0.0000  -0.05
2 Tl 0.8115 0.6885 0.0000  -0.04
3 Tl 0.6885 0.1885 0.0000  -0.05
4 Tl 0.1885 0.3115 0.0000  -0.04
5 Zn 0.0000 0.0000 0.0000  0.02
6 Zn 0.5000 0.5000 0.0000  0.02
7 Fe 0.1042 0.6042 0.5000  2.71
8 Fe 0.6042 0.8958 0.5000  2.70
9 Fe 0.8958 0.3958 0.5000  2.71
10 Fe 0.3958 0.1042 0.5000  2.70

ρ	9.98	Mg/m³
energy of formation	601	meV/atom
energy relative to the lowest polymorph listed for this composition	104	meV per atom

---

# 2
Compound: Tm3SnTe2
Source: Alexandria via LeMat-Bulk
Functional: GGA-PBE
Structure: optimized geometry

a b c (Å): 4.3553 6.1093 7.4890
angles (deg): 114.07 106.90 90.00
Fractional positions:
1 Tm 0.8424 0.3424 0.1849
2 Tm 0.1576 0.6576 0.8151
3 Tm 0.5000 0.0000 0.5000
4 Sn 0.5000 0.5000 0.5000
5 Te 0.8302 0.8302 0.1604
6 Te 0.1698 0.1698 0.8396

ρ	8.48	Mg/m³
formation energy from raw total energies	-1.085	eV/atom

---

# 3
Compound: PmHo2Ge3
Source: Alexandria via LeMat-Bulk
Functional: GGA-PBE
Structure: optimized geometry

a b c (Å): 4.1948 5.8982 7.1990
angles (deg): 114.18 106.94 90.00
Fractional positions:
1 Pm 0.0000 0.5000 0.0000
2 Ho 0.6648 0.1648 0.3295
3 Ho 0.3352 0.8352 0.6705
4 Ge 0.3282 0.3282 0.6564
5 Ge 0.0000 0.0000 0.0000
6 Ge 0.6718 0.6718 0.3436

ρ	7.47	Mg/m³
energy of formation	-650	meV/atom

---

# 4
Compound: Sm6DyMg
Source: Alexandria via LeMat-Bulk
Functional: GGA-PBE
Structure: optimized geometry

a b c (Å): 5.0293 5.0293 10.1549
angles (deg): 90.00 90.00 90.00
Fractional positions:
1 Sm 0.5000 0.5000 0.0000
2 Sm 0.5000 0.5000 0.5000
3 Sm 0.5000 0.0000 0.2474
4 Sm 0.5000 0.0000 0.7526
5 Sm 0.0000 0.5000 0.2474
6 Sm 0.0000 0.5000 0.7526
7 Dy 0.0000 0.0000 0.5000
8 Mg 0.0000 0.0000 0.0000

ρ	7.04	Mg/m³
energy of formation	10	meV/atom
energy relative to the lowest polymorph listed for this composition	0	meV per atom

---

# 5
Compound: ZrPRhO2
Source: Alexandria via LeMat-Bulk
Functional: GGA-PBE
Structure: optimized geometry

a b c (Å): 3.9153 3.9153 4.6653
angles (deg): 90.00 90.00 90.00
Last column: magnetic moment on the atom in μB.
Fractional positions:
1 P 0.0000 0.0000 0.5000  0.02
2 Rh 0.0000 0.0000 0.0000  0.20
3 O 0.0000 0.5000 0.0000  0.07
4 O 0.5000 0.0000 0.0000  0.07
5 Zr 0.5000 0.5000 0.5000  -0.01

ρ	5.97	Mg/m³
energy relative to the lowest polymorph listed for this composition	322	meV per atom
formation energy from raw total energies	-0.548	eV/atom

---

# 6
Compound: LiTmVRu
Source: Alexandria via LeMat-Bulk
Functional: GGA-PBE
Structure: optimized geometry

a b c (Å): 4.5539 4.5539 4.5539
angles (deg): 60.00 60.00 60.00
Last column: magnetic moment on the atom in μB.
Fractional positions:
1 Ru 0.7500 0.7500 0.7500  -0.35
2 Tm 0.5000 0.5000 0.5000  -0.01
3 Li 0.2500 0.2500 0.2500  0.01
4 V 0.0000 0.0000 0.0000  1.43

ρ	8.15	Mg/m³
energy of formation	0	meV/atom

---

# 7
Compound: LiNd2Tl3
Source: Alexandria via LeMat-Bulk
Functional: GGA-PBE
Structure: optimized geometry

a b c (Å): 5.3521 5.3521 13.3639
angles (deg): 90.00 90.00 120.00
Fractional positions:
1 Li 0.3333 0.6667 0.6589
2 Li 0.6667 0.3333 0.3411
3 Nd 0.0000 0.0000 0.5000
4 Nd 0.3333 0.6667 0.1805
5 Nd 0.6667 0.3333 0.8195
6 Nd 0.0000 0.0000 0.0000
7 Tl 0.3333 0.6667 0.4213
8 Tl 0.6667 0.3333 0.0895
9 Tl 0.0000 0.0000 0.7428
10 Tl 0.0000 0.0000 0.2572
11 Tl 0.3333 0.6667 0.9105
12 Tl 0.6667 0.3333 0.5787

ρ	9.10	Mg/m³
energy of formation	-343	meV/atom
energy relative to the lowest polymorph listed for this composition	0	meV per atom

---

# 8
Compound: TbPr2Ho2Tm
Source: Alexandria via LeMat-Bulk
Functional: GGA-PBE
Structure: optimized geometry

a b c (Å): 5.6627 7.0307 9.8099
angles (deg): 90.00 90.00 90.00
Fractional positions:
1 Tb 0.5000 0.2574 0.6575
2 Tb 0.5000 0.7574 0.3425
3 Pr 0.5000 0.0077 0.0000
4 Pr 0.0000 0.2578 0.1796
5 Pr 0.5000 0.5077 0.0000
6 Pr 0.0000 0.7578 0.8204
7 Ho 0.0000 0.2578 0.8359
8 Ho 0.5000 0.2575 0.3329
9 Ho 0.0000 0.7578 0.1641
10 Ho 0.5000 0.7575 0.6671
11 Tm 0.0000 0.0075 0.4999
12 Tm 0.0000 0.5075 0.5001

ρ	7.99	Mg/m³
energy of formation	67	meV/atom

---

# 9
Compound: Li2CaSnRh
Source: Alexandria via LeMat-Bulk
Functional: GGA-PBE
Structure: optimized geometry

a b c (Å): 4.7792 4.7792 5.0462
angles (deg): 90.00 90.00 90.00
Fractional positions:
1 Ca 0.5000 0.5000 0.5000
2 Rh 0.0000 0.0000 0.0000
3 Sn 0.0000 0.0000 0.5000
4 Li 0.0000 0.5000 0.0000
5 Li 0.5000 0.0000 0.0000

ρ	3.97	Mg/m³
energy of formation	-270	meV/atom

---

# 10
Compound: LiYC2
Source: Alexandria via LeMat-Bulk
Functional: GGA-PBE
Structure: optimized geometry

a b c (Å): 4.1090 4.1090 4.1090
angles (deg): 60.00 60.00 60.00
Fractional positions:
1 Y 0.5000 0.5000 0.5000
2 C 0.2500 0.2500 0.2500
3 C 0.7500 0.7500 0.7500
4 Li 0.0000 0.0000 0.0000

ρ	4.06	Mg/m³
energy of formation	865	meV/atom
energy relative to the lowest polymorph listed for this composition	138	meV per atom

---

# 11
Compound: InSn4Pb8
Source: Alexandria via LeMat-Bulk
Functional: GGA-PBE
Structure: optimized geometry

a b c (Å): 5.7971 3.4558 20.1320
angles (deg): 90.00 90.00 90.00
Fractional positions:
1 In 0.0000 0.0000 0.3393
2 Sn 0.0000 0.0000 0.0624
3 Sn 0.0000 0.5000 0.6326
4 Sn 0.5000 0.5000 0.4083
5 Sn 0.5000 0.0000 0.8837
6 Pb 0.0000 0.0000 0.4915
7 Pb 0.0000 0.5000 0.9219
8 Pb 0.5000 0.5000 0.0353
9 Pb 0.5000 0.0000 0.5724
10 Pb 0.0000 0.5000 0.1976
11 Pb 0.0000 0.0000 0.7759
12 Pb 0.5000 0.0000 0.2583
13 Pb 0.5000 0.5000 0.7238

ρ	9.25	Mg/m³
energy of formation	78	meV/atom

---

# 12
Compound: Ta4TlBr
Source: Alexandria via LeMat-Bulk
Functional: GGA-PBE
Structure: optimized geometry

a b c (Å): 5.6351 5.6351 5.6351
angles (deg): 60.00 60.00 60.00
Fractional positions:
1 Ta 0.8715 0.3762 0.3762
2 Ta 0.3762 0.3762 0.8715
3 Ta 0.3762 0.8715 0.3762
4 Ta 0.3762 0.3762 0.3762
5 Tl 0.7500 0.7500 0.7500
6 Br 0.0000 0.0000 0.0000

ρ	13.23	Mg/m³
formation energy from raw total energies	0.818	eV/atom